# 1
Compound: BeTe2AsBr
Source: Alexandria
Functional: GGA-PBE
Structure: optimized geometry

The calculation puts the calculated volume at 119 Å³/f.u. The total magnetic moment is 0.00 μB/cell. As for the formation energy without anion corrections: 415.5 meV per atom. Its space-group type is No. 123.

```
BeTe2AsBr
1.0
-1.322 -0.970 -4.864
-3.153 -2.873 1.430
-3.414 3.829 0.164
Te Be Br As
2 1 1 1
direct
0.000 0.000 0.500
0.500 0.000 0.000
0.000 0.000 0.000
0.500 0.500 0.500
0.000 0.500 0.000
```



# 2
Compound: BeTeAsBr2
Source: Alexandria
Functional: GGA-PBE
Structure: optimized geometry

The calculation puts the calculated volume at 112 Å³/f.u. The value obtained for the energy above the most stable polymorph in this dataset is 0.000 eV per atom. The total magnetic moment is 0.00 μB/cell. As for the formation energy without anion corrections: 189.5 meV per atom. Its space-group type is No. 123.

```
BeTeAsBr2
1.0
-1.032 4.233 1.574
-3.096 0.513 -3.408
-3.688 -2.031 3.044
Br As Te Be
2 1 1 1
direct
0.000 0.500 0.000
0.500 0.000 0.000
0.000 0.000 0.500
0.500 0.500 0.500
0.000 0.000 0.000
```



# 3
Compound: TiBeAsBr2
Source: Alexandria
Functional: GGA-PBE
Structure: optimized geometry

The calculation puts the calculated volume at 103 Å³/f.u. The value obtained for the energy above the most stable polymorph in this dataset is 0.098 eV per atom. The total magnetic moment is 0.00 μB/cell. As for the formation energy without anion corrections: 336.1 meV per atom. Its space-group type is No. 123.

```
TiBeAsBr2
1.0
4.566 0.000 0.000
0.000 4.566 0.000
0.000 0.000 4.943
Br Be Ti As
2 1 1 1
direct
0.000 0.500 0.000
0.500 0.000 0.000
0.000 0.000 0.000
0.500 0.500 0.500
0.000 0.000 0.500
```



# 4
Compound: TiBeAsBr2
Source: Alexandria
Functional: GGA-PBE
Structure: optimized geometry

The calculation puts the calculated volume at 128 Å³/f.u. The value obtained for the energy above the most stable polymorph in this dataset is 0.000 eV per atom. The total magnetic moment is 0.00 μB/cell. As for the formation energy without anion corrections: 237.7 meV per atom. Its space-group type is No. 123.

```
TiBeAsBr2
1.0
-4.889 -0.819 -0.348
0.562 -4.348 2.340
-0.722 2.368 4.574
Br Ti As Be
2 1 1 1
direct
0.000 0.500 0.000
0.500 0.000 0.000
0.000 0.000 0.000
0.000 0.000 0.500
0.500 0.500 0.500
```



# 5
Compound: BeVAs2Br
Source: Alexandria
Functional: GGA-PBE
Structure: optimized geometry

The calculation puts the calculated volume at 116 Å³/f.u. The value obtained for the energy above the most stable polymorph in this dataset is 0.063 eV per atom. The total magnetic moment is 0.13 μB/cell. As for the formation energy without anion corrections: 627.8 meV per atom. Its space-group type is No. 123.

```
BeVAs2Br
1.0
-3.611 2.951 0.127
-2.836 -3.519 1.155
0.942 0.930 5.147
As Be V Br
2 1 1 1
direct
0.500 0.000 0.000
0.000 0.500 0.000
0.500 0.500 0.500
0.000 0.000 0.000
0.000 0.000 0.500
```



# 6
Compound: BeVAsBr2
Source: Alexandria
Functional: GGA-PBE
Structure: optimized geometry

The calculation puts the calculated volume at 120 Å³/f.u. The value obtained for the energy above the most stable polymorph in this dataset is 0.067 eV per atom. The total magnetic moment is 0.00 μB/cell. As for the formation energy without anion corrections: 542.7 meV per atom. Its space-group type is No. 123.

```
BeVAsBr2
1.0
-2.618 -4.159 -0.630
3.866 -2.671 1.569
-1.638 0.334 4.606
Be Br As V
1 2 1 1
direct
0.500 0.500 0.500
0.500 0.000 0.000
0.000 0.500 0.000
0.000 0.000 0.500
0.000 0.000 0.000
```



# 7
Compound: BeVAs2Br
Source: Alexandria
Functional: GGA-PBE
Structure: optimized geometry

The calculation puts the calculated volume at 99 Å³/f.u. The value obtained for the energy above the most stable polymorph in this dataset is 0.000 eV per atom. The total magnetic moment is 2.63 μB/cell. As for the formation energy without anion corrections: 564.9 meV per atom. Its space-group type is No. 123.

```
BeVAs2Br
1.0
4.345 0.000 0.000
0.000 4.345 0.000
0.000 0.000 5.268
Br As V Be
1 2 1 1
direct
0.000 0.000 0.500
0.000 0.500 0.000
0.500 0.000 0.000
0.500 0.500 0.500
0.000 0.000 0.000
```



# 8
Compound: BeVAsBr2
Source: Alexandria
Functional: GGA-PBE
Structure: optimized geometry

The calculation puts the calculated volume at 105 Å³/f.u. The value obtained for the energy above the most stable polymorph in this dataset is 0.000 eV per atom. The total magnetic moment is 2.82 μB/cell. As for the formation energy without anion corrections: 475.2 meV per atom. Its space-group type is No. 123.

```
BeVAsBr2
1.0
-2.117 -3.832 -1.939
-0.079 -2.126 4.289
-4.124 1.852 0.843
As Br V Be
1 2 1 1
direct
0.000 0.000 0.500
0.500 0.000 0.000
0.000 0.500 0.000
0.500 0.500 0.500
0.000 0.000 0.000
```



# 9
Compound: BeAs2WBr
Source: Alexandria
Functional: GGA-PBE
Structure: optimized geometry

The calculation puts the calculated volume at 93 Å³/f.u. The value obtained for the energy above the most stable polymorph in this dataset is 0.194 eV per atom. The total magnetic moment is 2.60 μB/cell. As for the formation energy without anion corrections: 1127.0 meV per atom. Its space-group type is No. 123.

```
BeAs2WBr
1.0
-3.688 2.270 -0.778
-1.948 -2.000 3.400
1.535 3.502 2.940
As Br W Be
2 1 1 1
direct
0.500 0.000 0.000
0.000 0.500 0.000
0.000 0.000 0.500
0.500 0.500 0.500
0.000 0.000 0.000
```



# 10
Compound: BeAsWBr2
Source: Alexandria
Functional: GGA-PBE
Structure: optimized geometry

The calculation puts the calculated volume at 102 Å³/f.u. The value obtained for the energy above the most stable polymorph in this dataset is 0.175 eV per atom. The total magnetic moment is 3.09 μB/cell. As for the formation energy without anion corrections: 1099.9 meV per atom. Its space-group type is No. 123.

```
BeAsWBr2
1.0
-3.936 2.274 -0.469
-1.431 -3.101 -3.036
-1.960 -2.645 3.625
Br Be As W
2 1 1 1
direct
0.000 0.500 0.000
0.500 0.000 0.000
0.000 0.000 0.000
0.000 0.000 0.500
0.500 0.500 0.500
```



# 11
Compound: BeAs2WBr
Source: Alexandria
Functional: GGA-PBE
Structure: optimized geometry

The calculation puts the calculated volume at 125 Å³/f.u. The value obtained for the energy above the most stable polymorph in this dataset is 0.000 eV per atom. The total magnetic moment is 0.09 μB/cell. As for the formation energy without anion corrections: 933.2 meV per atom. Its space-group type is No. 123.

```
BeAs2WBr
1.0
4.853 0.000 0.000
0.000 4.853 0.000
0.000 0.000 5.325
W Br As Be
1 1 2 1
direct
0.000 0.000 0.000
0.000 0.000 0.500
0.000 0.500 0.000
0.500 0.000 0.000
0.500 0.500 0.500
```



# 12
Compound: BeAsWBr2
Source: Alexandria
Functional: GGA-PBE
Structure: optimized geometry

The calculation puts the calculated volume at 131 Å³/f.u. The value obtained for the energy above the most stable polymorph in this dataset is 0.000 eV per atom. The total magnetic moment is 0.52 μB/cell. As for the formation energy without anion corrections: 924.9 meV per atom. Its space-group type is No. 123.

```
BeAsWBr2
1.0
5.159 0.000 0.000
0.000 5.159 0.000
0.000 0.000 4.908
W Br As Be
1 2 1 1
direct
0.000 0.000 0.000
0.500 0.000 0.000
0.000 0.500 0.000
0.000 0.000 0.500
0.500 0.500 0.500
```